RbTl2OsO8: optimized geometry, PBE.

Output
Calculated total energy (eV/atom): -5.429

abc: 4.6232 5.8323 7.4123
angles: 89.63 75.18 82.26
Last column: nearest neighbours and their distance in Å.
Atoms (fractional coordinates):
Rb  0.0000  0.0000  0.0000  6 O 2.76-3.06
Tl  0.3015  0.5537  0.3076  3 O 2.29-2.45
Tl  0.6985  0.4463  0.6924  3 O 2.29-2.45
Os  0.5000  0.0000  0.5000  6 O 1.81-1.99
O  0.1418  0.4652  0.0032  1 O 1.33
O  0.2149  0.8374  0.6351  1 Os 1.81
O  0.2304  0.3007  0.5469  1 Os 1.99
O  0.3887  0.9356  0.2786  1 Os 1.90
O  0.6113  0.0644  0.7214  1 Os 1.90
O  0.7696  0.6993  0.4531  1 Os 1.99
O  0.7851  0.1626  0.3649  1 Os 1.81
O  0.8582  0.5348  0.9968  1 O 1.33